VASP calculation (GGA-PBE) on a relaxed SmAl8Co2 crystal.

CIF file:
```
data_SmAl8Co2
_chemical_formula_sum 'Sm1 Al8 Co2'
_cell_length_a 5.6074
_cell_length_b 5.6074
_cell_length_c 7.8473
_cell_angle_alpha 90.00
_cell_angle_beta 90.00
_cell_angle_gamma 90.00
_symmetry_space_group_name_H-M 'P 4/m m m'
_symmetry_Int_Tables_number 123
_symmetry_space_group_name_Hall '-P 4 2'
loop_
_atom_site_label
_atom_site_type_symbol
_atom_site_fract_x
_atom_site_fract_y
_atom_site_fract_z
_atom_site_occupancy
Sm1 Sm 0.0000 0.0000 0.0000 1
Al1 Al 0.2494 0.2494 0.3267 1
Co1 Co 0.0000 0.5000 0.5000 1
```

calculated formation energy	69	meV/atom
size of the total moment	0.0	μB/cell
calculated total energy	-48.115	eV for the cell shown